1 | A plane-wave DFT calculation with PBE was carried out for a relaxed structure of Pm3Pr7Y2.

Structure (POSCAR):
```
Pm3Pr7Y2
1.0
6.586 0.000 0.000
0.000 3.609 0.000
-1.858 0.000 17.840
Pm Pr Y
3 7 2
Cartesian
0.000 0.000 0.000 Pm
-0.935 1.805 11.793 Pm
5.664 1.805 6.047 Pm
1.187 1.805 2.998 Pr
0.661 0.000 9.013 Pr
0.268 0.000 14.797 Pr
3.293 1.805 0.000 Pr
4.461 0.000 3.044 Pr
4.067 0.000 8.828 Pr
3.541 1.805 14.843 Pr
2.312 0.000 5.894 Y
2.417 0.000 11.946 Y
```

Magnetic moment (μB per atom): 0.000



2 | A plane-wave DFT calculation with PBE was carried out for a relaxed structure of Pm3Pr7Y2.

Structure (POSCAR):
```
Pm3Pr7Y2
1.0
5.928 0.000 0.000
0.000 3.652 0.000
-2.937 0.000 19.630
Pm Pr Y
3 7 2
Cartesian
0.000 0.000 0.000 Pm
0.016 1.826 12.392 Pm
2.974 1.826 7.238 Pm
0.009 1.826 2.856 Pr
0.014 0.000 9.105 Pr
0.018 0.000 15.949 Pr
2.964 1.826 0.000 Pr
2.973 0.000 3.681 Pr
2.977 0.000 10.525 Pr
2.981 1.826 16.774 Pr
0.010 0.000 5.825 Y
2.981 0.000 13.804 Y
```

Magnetic moment (μB per atom): 0.000



1 ends up most stable, edging out the next structure by 28 meV/atom.



1 | A plane-wave DFT calculation with PBE was carried out for a relaxed structure of Pm5Pr3Y3.

Structure (POSCAR):
```
Pm5Pr3Y3
1.0
9.764 0.000 0.000
-4.882 8.456 0.000
0.000 0.000 5.567
Pm Pr Y
5 3 3
Cartesian
-1.312 2.272 0.000 Pm
2.624 0.000 0.000 Pm
0.000 5.637 0.000 Pm
4.882 2.819 0.000 Pm
3.570 6.184 0.000 Pm
-3.127 5.415 0.000 Pr
1.755 3.041 0.000 Pr
6.253 0.000 0.000 Pr
-2.294 3.974 2.784 Y
4.588 0.000 2.784 Y
2.588 4.482 2.784 Y
```

Magnetic moment (μB per atom): 0.000



2 | A plane-wave DFT calculation with PBE was carried out for a relaxed structure of Pm5Pr3Y3.

Structure (POSCAR):
```
Pm5Pr3Y3
1.0
9.713 0.000 0.000
-4.857 8.412 0.000
0.000 0.000 5.640
Pm Pr Y
5 3 3
Cartesian
-3.001 5.199 0.000 Pm
0.000 5.608 0.000 Pm
1.855 3.213 0.000 Pm
6.003 0.000 0.000 Pm
4.857 2.804 0.000 Pm
-1.984 3.437 2.820 Pr
3.969 0.000 2.820 Pr
2.872 4.975 2.820 Pr
-1.204 2.085 0.000 Y
2.407 0.000 0.000 Y
3.653 6.327 0.000 Y
```

Magnetic moment (μB per atom): 0.000



2 ends up most stable, edging out the next structure by 12 meV/atom.



1 | A plane-wave DFT calculation with PBE was carried out for a relaxed structure of Pm2Pr6Y.

Structure (POSCAR):
```
Pm2Pr6Y
1.0
8.367 0.000 0.000
0.000 8.367 0.000
0.000 0.000 10.649
Pm Pr Y
4 12 2
Cartesian
0.000 0.000 1.794 Pm
0.000 0.000 8.855 Pm
4.183 4.183 3.530 Pm
4.183 4.183 7.119 Pm
1.989 1.989 0.000 Pr
2.000 2.000 3.541 Pr
2.000 2.000 7.108 Pr
2.184 6.183 1.783 Pr
2.184 6.183 8.866 Pr
2.195 6.172 5.325 Pr
6.172 2.195 5.325 Pr
6.183 2.184 1.783 Pr
6.183 2.184 8.866 Pr
6.367 6.367 3.541 Pr
6.367 6.367 7.108 Pr
6.378 6.378 0.000 Pr
0.000 0.000 5.325 Y
4.183 4.183 0.000 Y
```

Magnetic moment (μB per atom): 0.000



2 | A plane-wave DFT calculation with PBE was carried out for a relaxed structure of Pm2Pr6Y.

Structure (POSCAR):
```
Pm2Pr6Y
1.0
4.797 -9.053 0.000
4.797 9.053 0.000
0.000 0.000 3.699
Pm Pr Y
2 6 1
Cartesian
4.797 5.858 0.000 Pm
4.797 -5.858 0.000 Pm
3.116 2.975 1.850 Pr
3.040 0.000 0.000 Pr
3.116 -2.975 1.850 Pr
6.478 2.975 1.850 Pr
6.554 0.000 0.000 Pr
6.478 -2.975 1.850 Pr
0.000 0.000 1.850 Y
```

Magnetic moment (μB per atom): 0.000



2 ends up most stable, edging out the next structure by 462 meV/atom.



1 | A plane-wave DFT calculation with PBE was carried out for a relaxed structure of Pm2Pr4Y5.

Structure (POSCAR):
```
Pm2Pr4Y5
1.0
5.746 -3.447 0.000
5.746 3.447 0.000
-5.447 0.000 9.716
Pm Pr Y
2 4 5
Cartesian
1.470 0.000 2.231 Pm
4.574 0.000 7.485 Pm
-1.111 0.000 7.783 Pr
1.229 0.000 5.488 Pr
4.815 0.000 4.228 Pr
7.155 0.000 1.933 Pr
-2.724 0.000 4.858 Y
4.300 1.744 1.085 Y
1.744 1.744 8.632 Y
4.300 -1.744 1.085 Y
1.744 -1.744 8.632 Y
```

Magnetic moment (μB per atom): 0.000



2 | A plane-wave DFT calculation with PBE was carried out for a relaxed structure of Pm2Pr4Y5.

Structure (POSCAR):
```
Pm2Pr4Y5
1.0
9.875 -2.968 0.000
9.875 2.968 0.000
-0.526 0.000 6.421
Pm Pr Y
2 4 5
Cartesian
1.902 0.000 0.276 Pm
17.322 0.000 6.145 Pm
3.482 0.000 3.666 Pr
9.036 0.000 1.496 Pr
10.187 0.000 4.926 Pr
15.741 0.000 2.755 Pr
-0.263 0.000 3.211 Y
5.548 0.000 0.706 Y
6.925 0.000 4.196 Y
12.298 0.000 2.225 Y
13.676 0.000 5.716 Y
```

Magnetic moment (μB per atom): 0.000



2 ends up most stable, edging out the next structure by 65 meV/atom.



1 | A plane-wave DFT calculation with PBE was carried out for a relaxed structure of Pm3Pr6Y2.

Structure (POSCAR):
```
Pm3Pr6Y2
1.0
-2.410 2.410 17.328
2.410 -2.410 17.328
2.410 2.410 -17.328
Pm Pr Y
3 6 2
Cartesian
0.000 0.000 0.000 Pm
0.000 0.000 6.749 Pm
0.000 0.000 27.907 Pm
2.410 0.000 4.156 Pr
0.000 0.000 10.187 Pr
2.410 0.000 13.172 Pr
0.000 2.410 4.156 Pr
0.000 0.000 24.470 Pr
0.000 2.410 13.172 Pr
0.000 0.000 15.770 Y
0.000 0.000 18.886 Y
```

Magnetic moment (μB per atom): 0.000



2 | A plane-wave DFT calculation with PBE was carried out for a relaxed structure of Pm3Pr6Y2.

Structure (POSCAR):
```
Pm3Pr6Y2
1.0
1.837 1.061 32.925
-1.837 1.061 32.925
0.000 -2.121 32.925
Pm Pr Y
3 6 2
Cartesian
0.000 0.000 0.000 Pm
0.000 0.000 26.916 Pm
0.000 0.000 71.858 Pm
0.000 0.000 9.021 Pr
0.000 0.000 17.999 Pr
0.000 0.000 35.933 Pr
0.000 0.000 62.841 Pr
0.000 0.000 80.775 Pr
0.000 0.000 89.753 Pr
0.000 0.000 44.895 Y
0.000 0.000 53.879 Y
```

Magnetic moment (μB per atom): 0.000



2 ends up most stable, edging out the next structure by 265 meV/atom.



1 | A plane-wave DFT calculation with PBE was carried out for a relaxed structure of Pm7PrY3.

Structure (POSCAR):
```
Pm7PrY3
1.0
6.604 0.000 0.000
-0.695 6.758 0.000
-1.367 -1.659 8.533
Pm Pr Y
7 1 3
Cartesian
0.000 0.000 0.000 Pm
-1.005 3.736 5.475 Pm
0.312 0.333 6.056 Pm
1.431 3.470 7.811 Pm
3.111 1.629 0.722 Pm
4.230 4.765 2.477 Pm
5.547 1.363 3.058 Pm
-0.348 3.379 0.000 Pr
0.956 5.746 2.865 Y
2.271 2.549 4.267 Y
3.586 -0.647 5.668 Y
```

Magnetic moment (μB per atom): 0.000



2 | A plane-wave DFT calculation with PBE was carried out for a relaxed structure of Pm7PrY3.

Structure (POSCAR):
```
Pm7PrY3
1.0
7.219 0.000 0.000
-3.609 6.252 0.000
0.000 0.000 8.742
Pm Pr Y
7 1 3
Cartesian
0.000 0.000 0.000 Pm
0.000 2.075 5.856 Pm
-1.812 5.214 5.856 Pm
3.609 0.007 0.117 Pm
1.811 3.122 0.117 Pm
1.812 5.214 5.856 Pm
5.408 3.122 0.117 Pm
3.609 2.084 5.979 Pr
1.801 1.040 2.979 Y
5.418 1.040 2.979 Y
3.609 4.172 2.979 Y
```

Magnetic moment (μB per atom): 0.000



1 ends up most stable, edging out the next structure by 63 meV/atom.